Entry 1:
Entry from Alexandria: crystalline CsHg7Au5 at its relaxed geometry (PBE).

Calculated values
energy of formation from the pure elements: -0.0270 eV/atom
energy: -1.516 eV/atom
density of states at the Fermi level: 3.67 states/eV per cell
space group: Imm2
calculated volume: 335.39 Å³/cell
spin magnetization: 0.000 μB/atom

abc: 5.6488 8.2068 8.2068
angles: 83.34 69.87 69.87
Last column: nearest neighbours and their distance in Å.
Fractional positions:
Au 0.8196 0.6804 0.6804  4 Hg 2.83-2.84, 4 Au 2.92
Au 0.4776 0.9916 0.5610  3 Au 2.78-2.92, 3 Hg 2.92-3.07
Au 0.9698 0.9916 0.5610  3 Au 2.78-2.92, 3 Hg 2.92-3.07
Au 0.9698 0.5610 0.9916  3 Au 2.78-2.92, 3 Hg 2.92-3.07
Au 0.4776 0.5610 0.9916  3 Au 2.78-2.92, 3 Hg 2.92-3.07
Hg 0.6486 0.3514 0.3514  9 Hg 3.23-3.47, 4 Au 3.50
Hg 0.4733 0.2613 0.7921  4 Au 3.07-3.12, 4 Hg 3.18-3.27
Hg 0.3336 0.6664 0.6664  6 Au 2.83-3.00
Hg 0.4733 0.7921 0.2613  4 Au 3.07-3.12, 4 Hg 3.18-3.27
Hg 0.0353 0.3187 0.6107  3 Au 2.84-2.92
Hg 0.0353 0.6107 0.3187  3 Au 2.84-2.92
Hg 0.2917 0.2083 0.2083  6 Hg 3.21-3.23, 4 Au 3.50, 2 Cs 3.58
Cs 0.9945 0.0055 0.0055  10 Hg 3.58-3.89, 4 Au 3.72


Entry 2:
Entry from Alexandria: crystalline HgBi3N at its relaxed geometry (PBE).

Calculated values
energy: -3.664 eV/atom
density of states at the Fermi level: 3.80 states/eV per cell
space group: P-1
calculated volume: 288.11 Å³/cell
spin magnetization: 0.000 μB/atom
energy relative to the elements, uncorrected: 0.390 eV per atom

abc: 3.4315 5.3730 21.4707
angles: 72.75 105.24 60.85
Last column: nearest neighbours and their distance in Å.
Fractional positions:
Hg 0.5865 0.0251 0.4805  1 Hg 2.83, 1 Bi 2.95
Hg 0.7822 0.2744 0.5740  1 Hg 2.83, 1 Bi 2.95
Bi 0.7239 0.7498 0.8022  1 N 2.28
Bi 0.3606 0.8012 0.3755  1 Hg 2.95, 1 Bi 3.14
Bi 0.6440 0.5501 0.2523  1 N 2.28
Bi 0.0078 0.4985 0.6789  1 Hg 2.95, 1 Bi 3.14
Bi 0.3122 0.9417 0.9417  2 N 2.23
Bi 0.0556 0.3583 0.1128  2 N 2.23
N 0.4199 0.5900 0.1380  3 Bi 2.23-2.28
N 0.9479 0.7099 0.9164  3 Bi 2.23-2.28